[1]
## Sr2SbWSe (PBE)

Data for a relaxed structure of Sr2SbWSe.

Output
ΔE_f (raw) = 0.260 eV per atom
Space group = P4/mmm (123)

Lattice parameters (Å, degrees): 5.9211 5.0504 5.9211 90.00 90.00 90.00
Last column: nearest neighbours and their distance in Å.
Element x y z (fractional)
Sb: 0.0000 0.5000 0.0000  2 W 2.53
Se: 0.5000 0.5000 0.5000  8 Sr 3.89, 4 Sb 4.19
W: 0.0000 0.0000 0.0000  2 Sb 2.53
Sr: 0.0000 0.0000 0.5000  2 W 2.96
Sr: 0.5000 0.0000 0.0000  2 W 2.96

***

[2]
## Sr2ZnSbSe5 (PBE)

Data for a relaxed structure of Sr2ZnSbSe5.

Output
ΔE_f (raw) = -1.091 eV per atom
Space group = Cmc2_1 (36)

Lattice parameters (Å, degrees): 4.1796 9.5359 12.7230 90.00 90.00 102.66
Last column: nearest neighbours and their distance in Å.
Element x y z (fractional)
Sr: 0.8788 0.7576 0.8032  8 Se 3.12-3.37
Sr: 0.0920 0.1841 0.6657  6 Se 3.05-3.32
Sr: 0.1212 0.2424 0.3032  8 Se 3.12-3.37
Sr: 0.9080 0.8159 0.1657  6 Se 3.05-3.32
Zn: 0.5691 0.1383 0.9432  3 Se 2.41-2.49
Zn: 0.4309 0.8617 0.4432  3 Se 2.41-2.49
Sb: 0.7737 0.5474 0.5274  6 Se 2.69-2.96
Sb: 0.2263 0.4526 0.0274  6 Se 2.69-2.96
Se: 0.3686 0.7373 0.9925  1 Sb 2.69
Se: 0.7081 0.4162 0.8782  1 Zn 2.71, 2 Sb 2.84
Se: 0.5023 0.0046 0.7807  1 Zn 2.41
Se: 0.2631 0.5261 0.6830  2 Sb 2.88, 1 Sr 3.19
Se: 0.9320 0.8640 0.5501  2 Zn 2.49
Se: 0.6314 0.2627 0.4925  1 Sb 2.69
Se: 0.2919 0.5838 0.3782  1 Zn 2.71, 2 Sb 2.84
Se: 0.4977 0.9954 0.2807  1 Zn 2.41
Se: 0.7369 0.4739 0.1830  2 Sb 2.88, 1 Sr 3.19
Se: 0.0680 0.1360 0.0501  2 Zn 2.49

***

[3]
## TaSbSe (PBE)

Data for a relaxed structure of TaSbSe.

Output
ΔE_f (raw) = -0.376 eV per atom
Space group = P3m1 (156)

Lattice parameters (Å, degrees): 3.3182 3.3182 7.9878 90.00 90.00 120.00
Last column: nearest neighbours and their distance in Å.
Element x y z (fractional)
Sb: 0.0000 0.0000 0.9270  3 Ta 2.96
Se: 0.6667 0.3333 0.4283  3 Ta 2.58
Ta: 0.3333 0.6667 0.6447  3 Se 2.58

***

[4]
## TaSb2Se (PBE)

Data for a relaxed structure of TaSb2Se.

Output
ΔE_f (raw) = 0.379 eV per atom
Space group = C2/m (12)

Lattice parameters (Å, degrees): 6.8258 5.3512 3.2777 79.70 78.48 125.21
Last column: nearest neighbours and their distance in Å.
Element x y z (fractional)
Sb: 0.0000 0.0000 0.0000  2 Ta 2.88, 2 Se 2.88
Sb: 0.5000 0.0000 0.5000  2 Se 2.88, 2 Ta 2.88
Se: 0.0000 0.5000 0.5000  4 Sb 2.88
Ta: 0.5000 0.5000 0.0000  4 Sb 2.88

***

[5]
## TaSb2Se (PBE)

Data for a relaxed structure of TaSb2Se.

Output
ΔE_f (raw) = 0.416 eV per atom
Space group = I4/mmm (139)

Lattice parameters (Å, degrees): 5.4565 5.4565 5.4565 132.18 132.18 69.94
Last column: nearest neighbours and their distance in Å.
Element x y z (fractional)
Sb: 0.0000 0.0000 0.0000  4 Sb 3.13, 4 Se 3.14, 4 Ta 3.14
Sb: 0.5000 0.5000 0.0000  4 Sb 3.13, 4 Ta 3.14, 4 Se 3.14
Se: 0.2500 0.7500 0.5000  4 Ta 3.13, 8 Sb 3.14
Ta: 0.7500 0.2500 0.5000  4 Se 3.13, 8 Sb 3.14

***

[6]
## TaSbSe2 (PBE)

Data for a relaxed structure of TaSbSe2.

Output
ΔE_f (raw) = -0.043 eV per atom
Space group = P4mm (99)

Lattice parameters (Å, degrees): 3.5339 3.5339 6.6183 90.00 90.00 90.00
Last column: nearest neighbours and their distance in Å.
Element x y z (fractional)
Sb: 0.5000 0.5000 0.7390  5 Se 2.96-3.11, 4 Ta 3.15
Se: 0.0000 0.0000 0.0188  1 Ta 2.85, 4 Se 3.09, 4 Sb 3.11
Se: 0.5000 0.5000 0.2924  4 Ta 2.71, 1 Sb 2.96
Ta: 0.0000 0.0000 0.4498  5 Se 2.71-2.85

***

[7]
## TaSb2Se (PBE)

Data for a relaxed structure of TaSb2Se.

Output
ΔE_f (raw) = 0.112 eV per atom
Space group = Pm (6)

Lattice parameters (Å, degrees): 4.6480 3.7360 5.4393 71.99 90.00 90.00
Last column: nearest neighbours and their distance in Å.
Element x y z (fractional)
Sb: 0.0000 0.9888 0.9430  3 Se 2.84-3.05, 4 Ta 3.13-3.15
Sb: 0.5000 0.2715 0.3126  3 Ta 2.89-2.96, 4 Se 3.07-3.17
Se: 0.0000 0.6696 0.4898  2 Ta 2.70, 2 Sb 2.84-2.94
Ta: 0.5000 0.5700 0.7545  2 Se 2.70, 3 Sb 2.89-2.96

***

[8]
## Ta2SbSe (PBE)

Data for a relaxed structure of Ta2SbSe.

Output
ΔE_f (raw) = 0.332 eV per atom
E above lowest polymorph = 52.6 kJ per mole of atoms
Space group = Cmmm (65)

Lattice parameters (Å, degrees): 3.1231 3.1231 8.7594 90.00 90.00 114.21
Last column: nearest neighbours and their distance in Å.
Element x y z (fractional)
Sb: 0.5000 0.5000 0.2500  4 Ta 2.87, 4 Sb 3.12
Se: 0.5000 0.5000 0.7500  4 Ta 2.67
Ta: 0.0000 0.0000 0.9854  2 Se 2.67, 2 Sb 2.87
Ta: 0.0000 0.0000 0.5146  2 Se 2.67, 2 Sb 2.87

***

[9]
## Ta2SbSe (PBE)

Data for a relaxed structure of Ta2SbSe.

Output
ΔE_f (raw) = 0.540 eV per atom
E above lowest polymorph = 72.7 kJ per mole of atoms
Space group = I-42d (122)

Lattice parameters (Å, degrees): 4.8297 4.8297 8.9272 74.31 74.31 90.00
Last column: nearest neighbours and their distance in Å.
Element x y z (fractional)
Sb: 0.0000 0.0000 0.0000  4 Ta 2.84
Sb: 0.7500 0.2500 0.5000  4 Ta 2.84
Se: 0.5000 0.5000 0.0000  4 Ta 2.54
Se: 0.2500 0.7500 0.5000  4 Ta 2.54
Ta: 0.5555 0.1250 0.2500  2 Se 2.54, 2 Sb 2.84
Ta: 0.1945 0.6250 0.2500  2 Se 2.54, 2 Sb 2.84
Ta: 0.3750 0.4445 0.7500  2 Se 2.54, 2 Sb 2.84
Ta: 0.8750 0.8055 0.7500  2 Se 2.54, 2 Sb 2.84

***

[10]
## TaSbSe2 (PBE)

Data for a relaxed structure of TaSbSe2.

Output
ΔE_f (raw) = -0.485 eV per atom
Space group = P-1 (2)

Lattice parameters (Å, degrees): 3.3926 6.2391 9.1106 96.46 93.70 89.96
Last column: nearest neighbours and their distance in Å.
Element x y z (fractional)
Ta: 0.0363 0.2494 0.7286  6 Se 2.56-2.75
Ta: 0.5278 0.6581 0.7271  6 Se 2.56-2.75
Sb: 0.2824 0.9539 0.2279  2 Se 3.08, 4 Sb 3.12-3.39
Sb: 0.2824 0.4536 0.2278  2 Se 2.92, 2 Sb 3.12
Se: 0.0683 0.9054 0.8923  3 Ta 2.62-2.75
Se: 0.0016 0.5032 0.5256  3 Ta 2.56-2.62
Se: 0.5625 0.4042 0.9301  3 Ta 2.56-2.62
Se: 0.4958 0.0021 0.5634  3 Ta 2.62-2.75

***

[11]
## TaSbSe2 (PBE)

Data for a relaxed structure of TaSbSe2.

Output
ΔE_f (raw) = -0.048 eV per atom
Space group = Immm (71)

Lattice parameters (Å, degrees): 6.7285 6.7285 6.7285 149.97 136.60 53.68
Last column: nearest neighbours and their distance in Å.
Element x y z (fractional)
Sb: 0.2500 0.7500 0.5000  4 Ta 3.04, 4 Se 3.16
Se: 0.9118 0.9118 0.0000  2 Ta 2.61
Se: 0.5882 0.5882 0.0000  2 Ta 2.61
Ta: 0.7500 0.2500 0.5000  4 Se 2.61

***

[12]
## TaSb4Se (PBE)

Data for a relaxed structure of TaSb4Se.

Output
ΔE_f (raw) = 0.882 eV per atom
Space group = F-43m (216)

Lattice parameters (Å, degrees): 6.0524 6.0524 6.0524 60.00 60.00 60.00
Last column: nearest neighbours and their distance in Å.
Element x y z (fractional)
Ta: 0.0000 0.0000 0.0000  12 Sb 3.55, 4 Se 3.71
Sb: 0.8740 0.3753 0.3753  6 Sb 3.02-3.03
Sb: 0.3753 0.3753 0.8740  6 Sb 3.02-3.03
Sb: 0.3753 0.8740 0.3753  6 Sb 3.02-3.03
Sb: 0.3753 0.3753 0.3753  6 Sb 3.02-3.03
Se: 0.7500 0.7500 0.7500  12 Sb 3.55, 4 Ta 3.71

***

Q: What is the formula in the third record?
A: TaSbSe

***

Q: Look up the ΔE_f (raw) of the sixth one.
A: -0.043 eV per atom

***

Q: What is the ΔE_f (raw) in the fifth record?
A: 0.416 eV per atom